Entry from Alexandria: a geometry-optimized PmDyPa2As4 structure (PBE-GGA).

It has space group P2/m (No. 10), with a = 7.1538 Å, b = 4.1299 Å, c = 7.1540 Å, α = 90.00°, β = 109.46° and γ = 90.00°. The distinct sites, in fractional coordinates, are Pm at (0.0000, 0.0000, 0.0000), Dy at (0.5000, 0.5000, 0.0000), Pa at (0.0000, 0.5000, 0.5000), Pa at (0.5000, 0.0000, 0.5000), As at (0.2515, 0.0000, 0.7446) and As at (0.2561, 0.5000, 0.2581).

Its formation enthalpy at 0 K is -1.281 eV/atom.